Crystalline BaSNF2 at its relaxed geometry, computed with GGA-PBE.

Cell lengths 4.8450, 4.8450, 3.4592 Å; angles 90.00, 90.00, 90.00 degrees
Last column: nearest neighbours and their distance in Å.
Positions (direct):
S 0.0000 0.0000 0.0000  2 N 1.73
N 0.0000 0.0000 0.5000  2 S 1.73
Ba 0.5000 0.5000 0.5000  8 F 2.98
F 0.0000 0.5000 0.0000  2 S 2.42
F 0.5000 0.0000 0.0000  2 S 2.42

Properties
Raw formation energy in eV per atom: -1.2587
Total magnetization in μB per atom: 0.000
Electronic total energy in eV/atom: -4.882